No. 1
## LaZrMn2 (PBEsol)

Data for LaZrMn2 after structural relaxation.

abc: 4.771 4.771 3.304
angles: 90.00 90.00 90.00
Fractional positions:
1 La 0.000 0.000 0.000
2 Zr 0.500 0.500 0.000
3 Mn 0.000 0.500 0.500
4 Mn 0.500 0.000 0.500

Properties
The value obtained for the density of states at the Fermi level is 5.03 states/eV/f.u. The value obtained for the formation enthalpy at 0 K is 1.50 eV/f.u. The energy above the most stable polymorph in this dataset is 0.144 eV/atom. The volume is 18.80 A^3/atom.

---

No. 2
## Co6IrRh (PBEsol)

Data for Co6IrRh after structural relaxation.

abc: 6.167 6.167 10.054
angles: 90.00 90.00 109.42
Fractional positions:
1 Co 0.000 0.000 0.000
2 Co 0.000 0.000 0.500
3 Co 0.125 0.375 0.125
4 Co 0.125 0.375 0.375
5 Co 0.125 0.375 0.625
6 Co 0.125 0.375 0.875
7 Co 0.250 0.750 0.250
8 Co 0.250 0.750 0.750
9 Co 0.375 0.125 0.125
10 Co 0.375 0.125 0.375
11 Co 0.375 0.125 0.625
12 Co 0.375 0.125 0.875
13 Co 0.500 0.500 0.000
14 Co 0.500 0.500 0.500
15 Co 0.625 0.875 0.125
16 Co 0.625 0.875 0.375
17 Co 0.625 0.875 0.625
18 Co 0.625 0.875 0.875
19 Co 0.750 0.250 0.250
20 Co 0.750 0.250 0.750
21 Co 0.875 0.625 0.125
22 Co 0.875 0.625 0.375
23 Co 0.875 0.625 0.625
24 Co 0.875 0.625 0.875
25 Ir 0.000 0.000 0.250
26 Ir 0.000 0.000 0.750
27 Ir 0.251 0.749 0.000
28 Ir 0.749 0.251 0.000
29 Rh 0.251 0.749 0.500
30 Rh 0.500 0.500 0.250
31 Rh 0.500 0.500 0.750
32 Rh 0.749 0.251 0.500

Properties
The value obtained for the density of states at the Fermi level is 13.32 states/eV/f.u. The value obtained for the formation enthalpy at 0 K is 0.49 eV/f.u. The volume is 11.27 A^3/atom.

---

No. 3
## LiBPd3 (PBEsol)

Data for LiBPd3 after structural relaxation.

abc: 4.092 4.092 4.092
angles: 90.00 90.00 90.00
Fractional positions:
1 Li 0.000 0.000 0.000
2 B 0.500 0.500 0.500
3 Pd 0.000 0.500 0.500
4 Pd 0.500 0.000 0.500
5 Pd 0.500 0.500 0.000

Properties
The value obtained for the density of states at the Fermi level is 0.49 states/eV/f.u. The value obtained for the formation enthalpy at 0 K is -1.82 eV/f.u. The volume is 13.70 A^3/atom.

---

No. 4
## YAl2Ir (PBEsol)

Data for YAl2Ir after structural relaxation.

abc: 5.268 5.268 2.910
angles: 97.78 97.78 116.56
Fractional positions:
1 Y 0.000 0.000 0.000
2 Al 0.000 0.500 0.500
3 Al 0.500 0.000 0.500
4 Ir 0.500 0.500 0.000

Properties
The value obtained for the density of states at the Fermi level is 2.29 states/eV/f.u. The value obtained for the formation enthalpy at 0 K is -0.80 eV/f.u. The volume is 17.46 A^3/atom.

---

No. 5
## BeAl2Se (PBEsol)

Data for BeAl2Se after structural relaxation.

abc: 6.925 6.925 6.925
angles: 28.18 28.18 28.18
Fractional positions:
1 Be 0.000 0.000 0.000
2 Al 0.256 0.256 0.256
3 Al 0.744 0.744 0.744
4 Se 0.500 0.500 0.500

Properties
The value obtained for the density of states at the Fermi level is 1.20 states/eV/f.u. Its energy relative to the elements, uncorrected is 58 meV/atom. The energy above the most stable polymorph in this dataset is 0.000 eV/atom. The volume is 16.35 A^3/atom.

---

No. 6
## LiFePO4 (PBEsol)

Data for LiFePO4 after structural relaxation.

abc: 5.619 5.619 8.022
angles: 90.00 90.00 90.00
Fractional positions:
1 Li 0.000 0.237 0.000
2 Li 0.000 0.763 0.500
3 Li 0.237 0.000 0.250
4 Li 0.763 0.000 0.750
5 Fe 0.260 0.500 0.250
6 Fe 0.500 0.260 0.000
7 Fe 0.500 0.740 0.500
8 Fe 0.740 0.500 0.750
9 P 0.243 0.243 0.625
10 P 0.243 0.757 0.875
11 P 0.757 0.243 0.375
12 P 0.757 0.757 0.125
13 O 0.019 0.250 0.737
14 O 0.019 0.750 0.763
15 O 0.248 0.473 0.513
16 O 0.248 0.527 0.987
17 O 0.250 0.019 0.513
18 O 0.250 0.981 0.987
19 O 0.473 0.248 0.737
20 O 0.473 0.752 0.763
21 O 0.527 0.248 0.263
22 O 0.527 0.752 0.237
23 O 0.750 0.019 0.487
24 O 0.750 0.981 0.013
25 O 0.752 0.473 0.487
26 O 0.752 0.527 0.013
27 O 0.981 0.250 0.263
28 O 0.981 0.750 0.237

Properties
The value obtained for the density of states at the Fermi level is 1.31 states/eV/f.u. Its energy relative to the elements, uncorrected is -1912 meV/atom. The energy above the most stable polymorph in this dataset is 0.000 eV/atom. The volume is 9.05 A^3/atom.